Here is a geometry-optimized Ac5Pb2N structure from Alexandria via LeMat-Bulk. Energies are from PBE-GGA.

Calculated values
Crystal system: orthorhombic
Formation energy from raw total energies in eV per atom: -0.221
Space group: No. 63

a b c (Å): 9.4914 9.4914 13.9930
angles (deg): 90.00 90.00 148.34
Closest atoms and distances in Å follow each position.
Element x y z (fractional)
Ac 0.0932 0.9068 0.6105  1 N 2.45
Ac 0.0932 0.9068 0.8895  1 N 2.45
Ac 0.2821 0.7179 0.2500  2 N 2.71
Ac 0.2999 0.7001 0.5720  2 Pb 3.37, 1 N 3.39, 2 Ac 3.75
Ac 0.2999 0.7001 0.9280  2 Pb 3.37, 1 N 3.39, 2 Ac 3.75
Ac 0.7001 0.2999 0.0720  2 Pb 3.37, 1 N 3.39, 2 Ac 3.75
Ac 0.7001 0.2999 0.4280  2 Pb 3.37, 1 N 3.39, 2 Ac 3.75
Ac 0.7179 0.2821 0.7500  2 N 2.71
Ac 0.9068 0.0932 0.1105  1 N 2.45
Ac 0.9068 0.0932 0.3895  1 N 2.45
Pb 0.0947 0.9053 0.1413  1 Pb 3.04, 2 Ac 3.37
Pb 0.0947 0.9053 0.3587  1 Pb 3.04, 2 Ac 3.37
Pb 0.9053 0.0947 0.6413  1 Pb 3.04, 2 Ac 3.37
Pb 0.9053 0.0947 0.8587  1 Pb 3.04, 2 Ac 3.37
N 0.1742 0.8258 0.7500  4 Ac 2.45-2.71
N 0.8258 0.1742 0.2500  4 Ac 2.45-2.71

---

Here is a geometry-optimized NaLaSn3 structure from Alexandria via LeMat-Bulk. Energies are from PBE-GGA.

Calculated values
Polymorph energy (0 for the lowest one) in meV/atom: 249.9
Crystal system: cubic
Space group: No. 221

a b c (Å): 6.0804 6.0804 6.0804
angles (deg): 90.00 90.00 90.00
Closest atoms and distances in Å follow each position.
Element x y z (fractional)
Na 0.0000 0.0000 0.0000  12 Sn 4.30
La 0.5000 0.5000 0.5000  6 Sn 3.04
Sn 0.0000 0.5000 0.5000  2 La 3.04
Sn 0.5000 0.0000 0.5000  2 La 3.04
Sn 0.5000 0.5000 0.0000  2 La 3.04

---

Here is a geometry-optimized PmYRh structure from Alexandria via LeMat-Bulk. Energies are from PBE-GGA.

Calculated values
Polymorph energy (0 for the lowest one) in meV/atom: 203.2
Crystal system: trigonal
Space group: No. 156

a b c (Å): 4.5374 4.5374 4.4043
angles (deg): 90.00 90.00 120.00
Closest atoms and distances in Å follow each position.
Element x y z (fractional)
Pm 0.0000 0.0000 0.0000  3 Rh 2.90
Y 0.3333 0.6667 0.4773  3 Rh 2.83
Rh 0.6667 0.3333 0.7174  3 Y 2.83, 3 Pm 2.90

---

Here is a geometry-optimized K4NpS5 structure from Alexandria via LeMat-Bulk. Energies are from PBE-GGA.

Calculated values
Crystal system: tetragonal
Formation energy from raw total energies in eV per atom: -1.163
Space group: No. 79

a b c (Å): 7.6830 7.6830 7.6830
angles (deg): 99.23 99.23 132.79
Closest atoms and distances in Å follow each position.
Element x y z (fractional)
K 0.1046 0.2971 0.4017  5 S 3.14-3.22
K 0.2971 0.8954 0.1925  5 S 3.14-3.22
K 0.7029 0.1046 0.8075  5 S 3.14-3.22
K 0.8954 0.7029 0.5983  5 S 3.14-3.22
Np 0.5239 0.5239 0.0000  5 S 2.52-2.55
S 0.2587 0.5736 0.8327  1 Np 2.52
S 0.4260 0.2587 0.6850  1 Np 2.52
S 0.5736 0.7410 0.3150  1 Np 2.52
S 0.7410 0.4260 0.1673  1 Np 2.52
S 0.9391 0.9391 0.0000  1 Np 2.55

---

Here is a geometry-optimized Tl4AgHg5 structure from Alexandria via LeMat-Bulk. Energies are from PBE-GGA.

Calculated values
Energy in eV per atom: -1.354
Crystal system: tetragonal
Space group: No. 79

a b c (Å): 7.4152 7.4152 7.4152
angles (deg): 100.75 100.75 128.82
Closest atoms and distances in Å follow each position.
Element x y z (fractional)
Tl 0.0671 0.6950 0.7620  6 Hg 3.15-3.33, 1 Ag 3.32
Tl 0.3050 0.0671 0.3721  6 Hg 3.15-3.33, 1 Ag 3.32
Tl 0.6950 0.9329 0.6279  6 Hg 3.15-3.33, 1 Ag 3.32
Tl 0.9329 0.3050 0.2380  6 Hg 3.15-3.33, 1 Ag 3.32
Ag 0.2362 0.2362 0.0000  5 Hg 2.94-3.00
Hg 0.2395 0.3925 0.6540  1 Ag 3.00, 1 Hg 3.13, 5 Tl 3.15-3.33
Hg 0.3925 0.7385 0.1530  1 Ag 3.00, 1 Hg 3.13, 5 Tl 3.15-3.33
Hg 0.5855 0.2395 0.8470  1 Ag 3.00, 1 Hg 3.13, 5 Tl 3.15-3.33
Hg 0.7385 0.5855 0.3460  1 Ag 3.00, 1 Hg 3.13, 5 Tl 3.15-3.33
Hg 0.7778 0.7778 0.0000  1 Ag 2.94, 4 Hg 3.13, 4 Tl 3.28

---

Here is a geometry-optimized Pm6As2P3I structure from Alexandria via LeMat-Bulk. Energies are from PBE-GGA.

Calculated values
Crystal system: monoclinic
Formation energy from raw total energies in eV per atom: -1.488
Space group: No. 12

a b c (Å): 9.4551 9.4551 8.5326
angles (deg): 103.43 103.43 25.63
Closest atoms and distances in Å follow each position.
Element x y z (fractional)
Pm 0.0013 0.0013 0.2178  3 P 2.80-2.92, 1 As 3.01
Pm 0.3217 0.3217 0.4138  3 P 2.83-2.97, 2 As 3.00
Pm 0.3340 0.3340 0.9144  3 P 2.97-2.99, 3 As 3.01-3.02
Pm 0.6660 0.6660 0.0856  3 P 2.97-2.99, 3 As 3.01-3.02
Pm 0.6783 0.6783 0.5862  3 P 2.83-2.97, 2 As 3.00
Pm 0.9987 0.9987 0.7822  3 P 2.80-2.92, 1 As 3.01
As 0.1658 0.1658 0.8301  6 Pm 3.00-3.02
As 0.8342 0.8342 0.1699  6 Pm 3.00-3.02
P 0.1636 0.1636 0.3337  6 Pm 2.83-2.99
P 0.5000 0.5000 0.0000  6 Pm 2.80-2.97
P 0.8364 0.8364 0.6663  6 Pm 2.83-2.99
I 0.5000 0.5000 0.5000  6 Pm 3.19-3.20

---

no.,density (g/cm3)
1,7.85
2,3.83
3,7.12
4,3.01
5,11.18
6,6.42